Entry 1:
Below is an optimized crystal structure of MnAlCrGe, with properties calculated at the PBE level.

a = 4.187 Å, b = 4.187 Å, c = 4.187 Å
α = 60.00°, β = 60.00°, γ = 60.00°
Element x y z (fractional)
1 Mn 0.000 0.000 0.000
2 Al 0.750 0.750 0.750
3 Cr 0.500 0.500 0.500
4 Ge 0.250 0.250 0.250

Summary:
Density: 6.61 Mg/m³
Calculated total energy: -27.16 eV for the cell shown
Crystal system: cubic
Formation energy: 0.00 eV/atom
Space-group type: F-43m


Entry 2:
Below is an optimized crystal structure of Al2CuNi9, with properties calculated at the PBE level.

a = 3.555 Å, b = 3.555 Å, c = 10.681 Å
α = 90.00°, β = 90.00°, γ = 90.00°
Element x y z (fractional)
1 Al 0.000 0.000 0.168
2 Al 0.000 0.000 0.832
3 Cu 0.000 0.000 0.500
4 Ni 0.000 0.500 0.000
5 Ni 0.000 0.500 0.334
6 Ni 0.000 0.500 0.666
7 Ni 0.500 0.000 0.000
8 Ni 0.500 0.000 0.334
9 Ni 0.500 0.000 0.666
10 Ni 0.500 0.500 0.167
11 Ni 0.500 0.500 0.500
12 Ni 0.500 0.500 0.833

Summary:
Density: 7.94 Mg/m³
Calculated total energy: -66.83 eV for the cell shown
Crystal system: tetragonal
Formation energy: -0.27 eV/atom
Space-group type: P4/mmm


Entry 3:
Below is an optimized crystal structure of GeIr2I, with properties calculated at the PBE level.

a = 4.641 Å, b = 4.641 Å, c = 4.641 Å
α = 60.00°, β = 60.00°, γ = 60.00°
Element x y z (fractional)
1 Ge 0.000 0.000 0.000
2 Ir 0.250 0.250 0.250
3 Ir 0.750 0.750 0.750
4 I 0.500 0.500 0.500

Summary:
Density: 13.72 Mg/m³
Calculated total energy: -20.60 eV for the cell shown
Crystal system: cubic
ΔE to the lowest computed polymorph: 0.99 eV/f.u.
Uncorrected formation energy: 821.3 meV per atom
Space-group type: Fm-3m


Entry 4:
Below is an optimized crystal structure of Nd3DyHg5, with properties calculated at the PBE level.

a = 9.289 Å, b = 9.289 Å, c = 6.672 Å
α = 90.00°, β = 90.00°, γ = 120.00°
Element x y z (fractional)
1 Nd 0.000 0.372 0.250
2 Nd 0.000 0.628 0.750
3 Nd 0.372 0.000 0.250
4 Nd 0.372 0.372 0.750
5 Nd 0.628 0.000 0.750
6 Nd 0.628 0.628 0.250
7 Dy 0.000 0.000 0.000
8 Dy 0.000 0.000 0.500
9 Hg 0.000 0.293 0.750
10 Hg 0.000 0.707 0.250
11 Hg 0.293 0.000 0.750
12 Hg 0.293 0.293 0.250
13 Hg 0.333 0.667 0.000
14 Hg 0.333 0.667 0.500
15 Hg 0.667 0.333 0.000
16 Hg 0.667 0.333 0.500
17 Hg 0.707 0.000 0.250
18 Hg 0.707 0.707 0.750

Summary:
Density: 10.65 Mg/m³
Calculated total energy: -48.55 eV for the cell shown
Crystal system: hexagonal
Formation energy: -0.43 eV/atom
Space-group type: P6_3/mcm


Entry 5:
Below is an optimized crystal structure of TbYBiO2, with properties calculated at the PBE level.

a = 7.351 Å, b = 7.351 Å, c = 7.351 Å
α = 149.20°, β = 149.20°, γ = 44.12°
Element x y z (fractional)
1 Tb 0.000 0.000 0.000
2 Y 0.337 0.337 0.000
3 Bi 0.669 0.669 0.000
4 O 0.418 0.918 0.500
5 O 0.918 0.418 0.500

Summary:
Density: 7.82 Mg/m³
Calculated total energy: -38.22 eV for the cell shown
Crystal system: tetragonal
Uncorrected formation energy: -2665.4 meV per atom
Space-group type: I4mm


Entry 6:
Below is an optimized crystal structure of Tm6InRh5, with properties calculated at the PBE level.

a = 8.365 Å, b = 8.365 Å, c = 4.790 Å
α = 106.55°, β = 106.55°, γ = 49.93°
Element x y z (fractional)
1 Tm 0.069 0.587 0.328
2 Tm 0.231 0.769 0.000
3 Tm 0.413 0.931 0.672
4 Tm 0.587 0.069 0.328
5 Tm 0.769 0.231 0.000
6 Tm 0.931 0.413 0.672
7 In 0.500 0.500 0.500
8 Rh 0.000 0.000 0.500
9 Rh 0.168 0.168 0.168
10 Rh 0.337 0.337 0.838
11 Rh 0.663 0.663 0.162
12 Rh 0.832 0.832 0.832

Summary:
Density: 11.20 Mg/m³
Calculated total energy: -76.31 eV for the cell shown
Crystal system: monoclinic
Formation energy: -0.83 eV/atom
Space-group type: C2/m


Entry 7:
Below is an optimized crystal structure of CoTeOs2, with properties calculated at the PBE level.

a = 2.868 Å, b = 4.578 Å, c = 4.717 Å
α = 90.00°, β = 90.00°, γ = 90.00°
Element x y z (fractional)
1 Co 0.000 0.000 0.000
2 Te 0.500 0.500 0.000
3 Os 0.000 0.500 0.500
4 Os 0.500 0.000 0.500

Summary:
Density: 15.20 Mg/m³
Calculated total energy: -29.28 eV for the cell shown
Crystal system: orthorhombic
Uncorrected formation energy: 857.2 meV per atom
Space-group type: Pmmm


Entry 8:
Below is an optimized crystal structure of HoBeSi2Ir, with properties calculated at the PBE level.

a = 5.844 Å, b = 5.844 Å, c = 5.844 Å
α = 141.24°, β = 141.24°, γ = 55.97°
Element x y z (fractional)
1 Ho 0.000 0.000 0.000
2 Be 0.750 0.250 0.500
3 Si 0.384 0.384 0.000
4 Si 0.616 0.616 0.000
5 Ir 0.250 0.750 0.500

Summary:
Density: 9.03 Mg/m³
Calculated total energy: -31.82 eV for the cell shown
Crystal system: tetragonal
Uncorrected formation energy: -762.6 meV per atom
Space-group type: I-4m2


Entry 9:
Below is an optimized crystal structure of PmPr3Ho, with properties calculated at the PBE level.

a = 8.202 Å, b = 8.202 Å, c = 6.260 Å
α = 90.00°, β = 90.00°, γ = 120.19°
Element x y z (fractional)
1 Pm 0.200 0.800 0.750
2 Pm 0.800 0.200 0.250
3 Pr 0.000 0.000 0.000
4 Pr 0.000 0.000 0.500
5 Pr 0.198 0.403 0.750
6 Pr 0.403 0.198 0.250
7 Pr 0.597 0.802 0.750
8 Pr 0.802 0.597 0.250
9 Ho 0.330 0.670 0.250
10 Ho 0.670 0.330 0.750

Summary:
Density: 6.68 Mg/m³
Calculated total energy: -44.10 eV for the cell shown
Crystal system: orthorhombic
Formation energy: 0.32 eV/atom
ΔE to the lowest computed polymorph: 0.13 eV/f.u.
Space-group type: Cmcm


Entry 10:
Below is an optimized crystal structure of SrHfV2, with properties calculated at the PBE level.

a = 10.216 Å, b = 10.216 Å, c = 10.216 Å
α = 153.31°, β = 153.31°, γ = 38.10°
Element x y z (fractional)
1 Sr 0.375 0.625 0.750
2 Sr 0.625 0.375 0.250
3 Hf 0.125 0.875 0.250
4 Hf 0.875 0.125 0.750
5 V 0.000 0.000 0.000
6 V 0.000 0.000 0.500
7 V 0.000 0.500 0.000
8 V 0.500 0.000 0.500

Summary:
Density: 5.69 Mg/m³
Calculated total energy: -49.69 eV for the cell shown
Crystal system: tetragonal
Formation energy: 1.26 eV/atom
ΔE to the lowest computed polymorph: 1.47 eV/f.u.
Space-group type: I4_1/amd


Entry 11:
Below is an optimized crystal structure of Zr2ZnCd, with properties calculated at the PBE level.

a = 9.609 Å, b = 9.609 Å, c = 9.609 Å
α = 19.59°, β = 19.59°, γ = 19.59°
Element x y z (fractional)
1 Zr 0.000 0.000 0.000
2 Zr 0.248 0.248 0.248
3 Zn 0.501 0.501 0.501
4 Cd 0.756 0.756 0.756

Summary:
Density: 6.86 Mg/m³
Calculated total energy: -19.31 eV for the cell shown
Crystal system: trigonal
Formation energy: -0.01 eV/atom
ΔE to the lowest computed polymorph: 0.70 eV/f.u.
Space-group type: R3m


Entry 12:
Below is an optimized crystal structure of SnAs2S2, with properties calculated at the PBE level.

a = 8.562 Å, b = 8.562 Å, c = 3.321 Å
α = 90.00°, β = 90.00°, γ = 90.00°
Element x y z (fractional)
1 Sn 0.000 0.000 0.000
2 Sn 0.500 0.500 0.000
3 As 0.234 0.266 0.000
4 As 0.266 0.766 0.000
5 As 0.734 0.234 0.000
6 As 0.766 0.734 0.000
7 S 0.135 0.635 0.500
8 S 0.365 0.135 0.500
9 S 0.635 0.865 0.500
10 S 0.865 0.365 0.500

Summary:
Density: 4.54 Mg/m³
Calculated total energy: -42.91 eV for the cell shown
Crystal system: tetragonal
ΔE to the lowest computed polymorph: 0.00 eV/f.u.
Uncorrected formation energy: 19.9 meV per atom
Space-group type: P4/mbm